Entry A
Here is a relaxed structure of ScIn2Si from Alexandria via LeMat-Bulk. Energies are from PBEsol.

Structure (CIF):
```
data_ScIn2Si
_cell_length_a 10.121
_cell_length_b 4.140
_cell_length_c 4.140
_cell_angle_alpha 90.00
_cell_angle_beta 114.04
_cell_angle_gamma 90.00
_space_group_name_H-M_alt 'C 1 m 1'
_space_group_IT_number 8
_space_group_name_Hall 'C -2y'
loop_
_atom_site_label
_atom_site_fract_x
_atom_site_fract_y
_atom_site_fract_z
Sc1 0.000 0.000 0.000
In1 0.000 0.500 0.500
In2 0.250 0.000 0.750
Si1 0.251 0.500 0.251
```

***

Entry B
Here is a relaxed structure of ScIn2Si from Alexandria via LeMat-Bulk. Energies are from PBEsol.

Structure (CIF):
```
data_ScIn2Si
_cell_length_a 3.221
_cell_length_b 3.221
_cell_length_c 8.175
_cell_angle_alpha 90.00
_cell_angle_beta 90.00
_cell_angle_gamma 90.00
_space_group_name_H-M_alt 'P 4 m m'
_space_group_IT_number 99
_space_group_name_Hall 'P 4 -2'
loop_
_atom_site_label
_atom_site_fract_x
_atom_site_fract_y
_atom_site_fract_z
Sc1 0.000 0.000 0.000
In1 0.000 0.000 0.437
In2 0.500 0.500 0.735
Si1 0.500 0.500 0.193
```

***

Entry C
Here is a relaxed structure of ScIn2Si from Alexandria via LeMat-Bulk. Energies are from PBEsol.

Structure (CIF):
```
data_ScIn2Si
_cell_length_a 4.041
_cell_length_b 4.041
_cell_length_c 9.686
_cell_angle_alpha 90.00
_cell_angle_beta 90.00
_cell_angle_gamma 90.00
_space_group_name_H-M_alt 'I 4/m m m'
_space_group_IT_number 139
_space_group_name_Hall '-I 4 2'
loop_
_atom_site_label
_atom_site_fract_x
_atom_site_fract_y
_atom_site_fract_z
Sc1 0.000 0.000 0.000
In1 0.000 0.500 0.250
Si1 0.000 0.000 0.500
```

***

entry C takes first place; second place is 0.044 eV/atom up.

***

Entry A
Here is a relaxed structure of ScInSi from Alexandria via LeMat-Bulk. Energies are from PBEsol.

Structure (CIF):
```
data_ScInSi
_cell_length_a 3.082
_cell_length_b 3.751
_cell_length_c 10.132
_cell_angle_alpha 90.00
_cell_angle_beta 90.00
_cell_angle_gamma 90.00
_space_group_name_H-M_alt 'I m m 2'
_space_group_IT_number 44
_space_group_name_Hall 'I 2 -2'
loop_
_atom_site_label
_atom_site_fract_x
_atom_site_fract_y
_atom_site_fract_z
Sc1 0.000 0.000 0.000
In1 0.000 0.000 0.304
Si1 0.000 0.000 0.645
```

***

Entry B
Here is a relaxed structure of ScInSi from Alexandria via LeMat-Bulk. Energies are from PBEsol.

Structure (CIF):
```
data_ScInSi
_cell_length_a 6.318
_cell_length_b 6.318
_cell_length_c 6.318
_cell_angle_alpha 90.00
_cell_angle_beta 90.00
_cell_angle_gamma 90.00
_space_group_name_H-M_alt 'F -4 3 m'
_space_group_IT_number 216
_space_group_name_Hall 'F -4 2 3'
loop_
_atom_site_label
_atom_site_fract_x
_atom_site_fract_y
_atom_site_fract_z
Sc1 0.000 0.000 0.000
In1 0.000 0.000 0.500
Si1 0.250 0.250 0.250
```

***

entry A takes first place; second place is 0.059 eV/atom up.

***

Entry A
Here is a relaxed structure of ScInTc2 from Alexandria via LeMat-Bulk. Energies are from PBEsol.

Structure (CIF):
```
data_ScInTc2
_cell_length_a 3.004
_cell_length_b 4.083
_cell_length_c 5.672
_cell_angle_alpha 90.00
_cell_angle_beta 90.00
_cell_angle_gamma 90.00
_space_group_name_H-M_alt 'P m m m'
_space_group_IT_number 47
_space_group_name_Hall '-P 2 2'
loop_
_atom_site_label
_atom_site_fract_x
_atom_site_fract_y
_atom_site_fract_z
Sc1 0.000 0.000 0.000
In1 0.000 0.000 0.500
Tc1 0.500 0.500 0.206
```

***

Entry B
Here is a relaxed structure of ScInTc2 from Alexandria via LeMat-Bulk. Energies are from PBEsol.

Structure (CIF):
```
data_ScInTc2
_cell_length_a 2.978
_cell_length_b 2.978
_cell_length_c 7.858
_cell_angle_alpha 90.00
_cell_angle_beta 90.00
_cell_angle_gamma 90.00
_space_group_name_H-M_alt 'P 4 m m'
_space_group_IT_number 99
_space_group_name_Hall 'P 4 -2'
loop_
_atom_site_label
_atom_site_fract_x
_atom_site_fract_y
_atom_site_fract_z
Sc1 0.000 0.000 0.000
In1 0.500 0.500 0.690
Tc1 0.000 0.000 0.426
Tc2 0.500 0.500 0.249
```

***

Entry C
Here is a relaxed structure of ScInTc2 from Alexandria via LeMat-Bulk. Energies are from PBEsol.

Structure (CIF):
```
data_ScInTc2
_cell_length_a 3.264
_cell_length_b 4.638
_cell_length_c 8.803
_cell_angle_alpha 90.00
_cell_angle_beta 90.00
_cell_angle_gamma 90.00
_space_group_name_H-M_alt 'C m m m'
_space_group_IT_number 65
_space_group_name_Hall '-C 2 2'
loop_
_atom_site_label
_atom_site_fract_x
_atom_site_fract_y
_atom_site_fract_z
Sc1 0.000 0.000 0.000
In1 0.000 0.000 0.500
Tc1 0.000 0.500 0.247
```

***

entry B takes first place; second place is 0.362 eV/atom up.

***

Entry A
Here is a relaxed structure of Sc2TlIn from Alexandria via LeMat-Bulk. Energies are from PBEsol.

Structure (CIF):
```
data_Sc2TlIn
_cell_length_a 4.214
_cell_length_b 4.214
_cell_length_c 10.088
_cell_angle_alpha 90.00
_cell_angle_beta 90.00
_cell_angle_gamma 90.00
_space_group_name_H-M_alt 'I -4 m 2'
_space_group_IT_number 119
_space_group_name_Hall 'I -4 -2'
loop_
_atom_site_label
_atom_site_fract_x
_atom_site_fract_y
_atom_site_fract_z
Sc1 0.000 0.000 0.000
Sc2 0.000 0.500 0.250
Tl1 0.000 0.000 0.500
In1 0.000 0.500 0.750
```

***

Entry B
Here is a relaxed structure of Sc2TlIn from Alexandria via LeMat-Bulk. Energies are from PBEsol.

Structure (CIF):
```
data_Sc2TlIn
_cell_length_a 3.525
_cell_length_b 4.981
_cell_length_c 4.980
_cell_angle_alpha 90.00
_cell_angle_beta 90.00
_cell_angle_gamma 90.00
_space_group_name_H-M_alt 'P m m 2'
_space_group_IT_number 25
_space_group_name_Hall 'P 2 -2'
loop_
_atom_site_label
_atom_site_fract_x
_atom_site_fract_y
_atom_site_fract_z
Sc1 0.000 0.000 0.000
Sc2 0.000 0.500 0.499
Tl1 0.500 0.500 0.999
In1 0.500 0.000 0.500
```

***

Entry C
Here is a relaxed structure of Sc2TlIn from Alexandria via LeMat-Bulk. Energies are from PBEsol.

Structure (CIF):
```
data_Sc2TlIn
_cell_length_a 3.647
_cell_length_b 4.732
_cell_length_c 10.396
_cell_angle_alpha 90.00
_cell_angle_beta 90.00
_cell_angle_gamma 90.00
_space_group_name_H-M_alt 'I m m 2'
_space_group_IT_number 44
_space_group_name_Hall 'I 2 -2'
loop_
_atom_site_label
_atom_site_fract_x
_atom_site_fract_y
_atom_site_fract_z
Sc1 0.000 0.000 0.000
Sc2 0.000 0.500 0.247
Tl1 0.000 0.500 0.754
In1 0.000 0.000 0.490
```

***

entry B takes first place; second place is 0.047 eV/atom up.